PuZr2Zn6: optimized geometry, GGA-PBE.

Lattice parameters (Å, degrees): 3.0137 7.8468 7.8468 60.00 90.00 90.00
Each line ends with the local moment (μB).
Fractional coordinates of all 9 atoms:
Zn (0.5000, 0.3400, 0.6600)  0.00
Zn (0.4997, 0.6600, 0.0000)  0.00
Zn (0.4997, 0.0000, 0.6600)  0.00
Zn (0.5003, 0.0000, 0.3400)  0.00
Zn (0.5000, 0.6600, 0.3400)  0.00
Zn (0.5003, 0.3400, 0.0000)  0.00
Zr (0.0000, 0.6667, 0.6667)  -0.04
Zr (0.0000, 0.3333, 0.3333)  -0.04
Pu (0.0000, 0.0000, 0.0000)  5.39

## Properties
SG = No. 191
Total magnetization = 5.47 μB/f.u.
Calculated density = 8.46 g/cm³
Energy of formation from the pure elements = -194 kJ/mol of formula units